Record 1
Compound: TbThCd3
Source: the Alexandria database
Functional: GGA-PBE
Structure: optimized geometry

The space group is Cmcm (No. 63) and the conventional cell measures 3.4389, 30.0955 and 5.0381 Å, with angles of 90.00, 90.00 and 90.00 degrees. The distinct sites, in fractional coordinates, are Tb at (0.0000, 0.2154, 0.2500), Th at (0.0000, 0.0751, 0.7500), Cd at (0.0000, 0.3234, 0.2500), Cd at (0.0000, 0.3772, 0.7500) and Cd at (0.0000, 0.4758, 0.7500).

***

Record 2
Compound: Tb4ThCd
Source: the Alexandria database
Functional: GGA-PBE
Structure: optimized geometry

The energy above the most stable polymorph in this dataset comes out at 107 meV per atom.

The space group is C2/c (No. 15) and the conventional cell measures 8.8529, 14.2605 and 6.2707 Å, with angles of 90.00, 111.06 and 90.00 degrees. The distinct sites, in fractional coordinates, are Tb at (0.1035, 0.1893, 0.0568), Tb at (0.2115, 0.3958, 0.3588), Th at (0.0000, 0.3953, 0.7500) and Cd at (0.0000, 0.0006, 0.7500).

***

Record 3
Compound: Tb3ThCd2
Source: the Alexandria database
Functional: GGA-PBE
Structure: optimized geometry

The space group is P4/mmm (No. 123) and the conventional cell measures 3.6318, 3.6318 and 12.8223 Å, with angles of 90.00, 90.00 and 90.00 degrees. The distinct sites, in fractional coordinates, are Tb at (0.0000, 0.0000, 0.0000), Tb at (0.0000, 0.0000, 0.3128), Th at (0.5000, 0.5000, 0.5000) and Cd at (0.5000, 0.5000, 0.1556).

***

Record 4
Compound: TbThCd4
Source: the Alexandria database
Functional: GGA-PBE
Structure: optimized geometry

The energy above the most stable polymorph in this dataset comes out at 0 meV per atom.

The space group is F-43m (No. 216) and the conventional cell measures 8.4211, 8.4211 and 8.4211 Å, with angles of 90.00, 90.00 and 90.00 degrees. The distinct sites, in fractional coordinates, are Tb at (0.0000, 0.0000, 0.0000), Th at (0.2500, 0.2500, 0.2500) and Cd at (0.1253, 0.1253, 0.6253).

***

Formation energy, record by record: -210; 25; -214; -183 meV/atom
Calculated density, record by record: 9.28; 8.81; 9.17; 9.35 Mg/m³